1.
## RbNa2Ir (PBE-GGA)

Data for RbNa2Ir after structural relaxation.

Summary:
Relative energy among the computed polymorphs in meV/atom: 0
Calculated volume in Å³/cell: 410
Density of states at the Fermi level in states/eV/cell: 1.88

Unit cell a=7.432 b=7.432 c=7.432 alpha=90.00 beta=90.00 gamma=90.00
Fractional positions:
Rb 0.000 0.000 0.000
Rb 0.000 0.500 0.500
Rb 0.500 0.000 0.500
Rb 0.500 0.500 0.000
Na 0.250 0.250 0.250
Na 0.250 0.250 0.750
Na 0.250 0.750 0.250
Na 0.250 0.750 0.750
Na 0.750 0.250 0.250
Na 0.750 0.250 0.750
Na 0.750 0.750 0.250
Na 0.750 0.750 0.750
Ir 0.000 0.000 0.500
Ir 0.000 0.500 0.000
Ir 0.500 0.000 0.000
Ir 0.500 0.500 0.500


2.
## Ce12SnPb4C3 (PBE-GGA)

Data for Ce12SnPb4C3 after structural relaxation.

Summary:
Calculated volume in Å³/cell: 559
Density of states at the Fermi level in states/eV/cell: 42.87
E in eV per cell: -122.476

Unit cell a=8.991 b=8.991 c=8.991 alpha=109.47 beta=109.47 gamma=109.47
Fractional positions:
Ce 0.000 0.278 0.278
Ce 0.000 0.722 0.722
Ce 0.250 0.500 0.750
Ce 0.250 0.750 0.500
Ce 0.278 0.000 0.278
Ce 0.278 0.278 0.000
Ce 0.500 0.250 0.750
Ce 0.500 0.750 0.250
Ce 0.722 0.000 0.722
Ce 0.722 0.722 0.000
Ce 0.750 0.250 0.500
Ce 0.750 0.500 0.250
Sn 0.000 0.000 0.000
Pb 0.000 0.000 0.500
Pb 0.000 0.500 0.000
Pb 0.500 0.000 0.000
Pb 0.500 0.500 0.500
C 0.000 0.500 0.500
C 0.500 0.000 0.500
C 0.500 0.500 0.000


3.
## NiSb2Cl (PBE-GGA)

Data for NiSb2Cl after structural relaxation.

Summary:
Relative energy among the computed polymorphs in meV/atom: 353
Calculated volume in Å³/cell: 181
Density of states at the Fermi level in states/eV/cell: 6.77

Unit cell a=3.617 b=5.560 c=8.981 alpha=90.00 beta=90.00 gamma=90.00
Fractional positions:
Ni 0.000 0.000 0.000
Ni 0.500 0.500 0.000
Sb 0.000 0.000 0.502
Sb 0.000 0.500 0.809
Sb 0.500 0.000 0.809
Sb 0.500 0.500 0.502
Cl 0.000 0.500 0.165
Cl 0.500 0.000 0.165